KPrTc2O8: relaxed, PBE.

The structure in POSCAR format:
```
KPrTc2O8
1.0
6.093 0.000 0.000
-3.046 5.276 0.000
0.000 0.000 7.761
K Pr Tc O
1 1 2 8
Cartesian
0.000 0.000 0.000 K
0.000 0.000 3.880 Pr
0.000 3.518 6.017 Tc
3.046 1.759 1.744 Tc
-0.009 1.827 5.397 O
-1.460 4.371 5.397 O
0.000 3.518 0.000 O
1.578 0.921 2.363 O
1.469 4.355 5.397 O
3.046 1.759 7.760 O
4.506 0.906 2.363 O
3.055 3.449 2.363 O
```

## Properties
The value obtained for the density of states at the Fermi level is 7.545 states/eV per cell.

K2PrTcO6: relaxed, PBE.

The structure in POSCAR format:
```
K2PrTcO6
1.0
3.148 1.818 10.205
-3.148 1.818 10.205
0.000 -3.636 10.205
K Pr Tc O
4 2 2 12
Cartesian
0.000 0.000 4.189 K
0.000 0.000 8.035 K
0.000 0.000 22.581 K
0.000 0.000 26.428 K
0.000 0.000 12.237 Pr
0.000 0.000 18.379 Pr
0.000 0.000 0.000 Tc
0.000 0.000 15.308 Tc
0.000 -2.093 11.310 O
-1.812 1.046 11.310 O
-1.329 -0.767 14.165 O
-1.812 -1.046 19.306 O
0.000 -1.535 16.452 O
-1.329 0.767 16.452 O
1.329 -0.767 14.165 O
0.000 1.535 14.165 O
1.812 1.046 11.310 O
1.329 0.767 16.452 O
1.812 -1.046 19.306 O
0.000 2.093 19.306 O
```

K3Pr3TcO8: relaxed, PBE.

The structure in POSCAR format:
```
K3Pr3TcO8
1.0
3.546 2.047 6.313
-3.546 2.047 6.313
0.000 -4.095 6.313
K Pr Tc O
3 3 1 8
Cartesian
-1.773 -1.024 6.313 K
-1.773 1.024 12.627 K
0.000 2.047 6.313 K
-3.546 0.000 9.470 Pr
-1.773 1.024 3.157 Pr
1.773 1.024 3.157 Pr
0.000 0.000 9.470 Tc
0.000 0.000 4.375 O
-1.566 -0.904 10.575 O
0.000 -1.808 8.365 O
-1.566 0.904 8.365 O
1.566 -0.904 10.575 O
0.000 1.808 10.575 O
1.566 0.904 8.365 O
0.000 0.000 14.566 O
```

K4PrTc3O12: relaxed, PBE.

The structure in POSCAR format:
```
K4PrTc3O12
1.0
-4.115 4.115 4.115
4.115 -4.115 4.115
4.115 4.115 -4.115
K Pr Tc O
4 1 3 12
Cartesian
2.057 2.057 -2.057 K
2.057 -2.057 2.057 K
-2.057 2.057 2.057 K
2.057 2.057 2.057 K
0.000 0.000 0.000 Pr
4.115 0.000 0.000 Tc
0.000 4.115 0.000 Tc
0.000 0.000 4.115 Tc
2.273 0.000 0.000 O
5.957 0.000 0.000 O
4.115 2.057 0.000 O
4.115 0.000 2.057 O
0.000 2.273 0.000 O
0.000 0.000 2.273 O
2.057 4.115 0.000 O
2.057 0.000 4.115 O
0.000 5.957 0.000 O
0.000 0.000 5.957 O
0.000 4.115 2.057 O
0.000 2.057 4.115 O
```

## Properties
The value obtained for the density of states at the Fermi level is 9.274 states/eV per cell.

K4Pr3TcO8: relaxed, PBE.

The structure in POSCAR format:
```
K4Pr3TcO8
1.0
6.143 -3.550 0.000
6.143 3.550 0.000
-4.090 0.000 6.279
K Pr Tc O
4 3 1 8
Cartesian
0.000 0.000 0.000 K
3.071 1.775 0.000 K
3.071 -1.775 0.000 K
6.143 0.000 0.000 K
-2.045 0.000 3.140 Pr
1.026 1.775 3.140 Pr
1.026 -1.775 3.140 Pr
4.098 0.000 3.140 Tc
0.005 0.000 4.382 O
3.165 1.635 4.310 O
2.154 0.000 1.922 O
5.030 1.635 1.969 O
3.165 -1.635 4.310 O
6.042 0.000 4.357 O
5.030 -1.635 1.969 O
8.191 0.000 1.897 O
```

## Properties
The value obtained for the density of states at the Fermi level is 4.539 states/eV per cell.

K2PrTe2O6: relaxed, PBE.

The structure in POSCAR format:
```
K2PrTe2O6
1.0
5.172 -3.570 0.000
5.172 3.570 0.000
-3.068 0.000 6.123
K Pr Te O
2 1 2 6
Cartesian
1.388 0.000 0.878 K
5.888 0.000 5.245 K
-1.534 0.000 3.062 Pr
2.507 0.000 4.625 Te
4.769 0.000 1.498 Te
4.369 1.979 1.466 O
2.907 1.979 4.657 O
0.767 0.000 3.892 O
6.509 0.000 2.232 O
4.369 -1.979 1.466 O
2.907 -1.979 4.657 O
```

## Properties
The value obtained for the density of states at the Fermi level is 2.530 states/eV per cell.

K2Pr2TeO6: relaxed, PBE.

The structure in POSCAR format:
```
K2Pr2TeO6
1.0
3.111 -5.350 0.000
3.111 5.350 0.000
-1.841 0.000 6.421
K Pr Te O
2 2 1 6
Cartesian
3.111 3.649 0.000 K
3.111 -3.649 0.000 K
2.191 1.762 3.210 Pr
2.191 -1.762 3.210 Pr
-0.920 0.000 3.210 Te
0.036 1.714 4.353 O
0.956 0.000 2.051 O
0.036 -1.714 4.353 O
4.345 1.714 2.068 O
3.426 0.000 4.370 O
4.345 -1.714 2.068 O
```

## Properties
The value obtained for the density of states at the Fermi level is 0.000 states/eV per cell.

K4PrTe3O12: relaxed, PBE.

The structure in POSCAR format:
```
K4PrTe3O12
1.0
-4.186 4.186 4.186
4.186 -4.186 4.186
4.186 4.186 -4.186
K Pr Te O
4 1 3 12
Cartesian
2.093 2.093 -2.093 K
2.093 -2.093 2.093 K
-2.093 2.093 2.093 K
2.093 2.093 2.093 K
0.000 0.000 0.000 Pr
4.186 0.000 0.000 Te
0.000 4.186 0.000 Te
0.000 0.000 4.186 Te
2.289 0.000 0.000 O
6.083 0.000 0.000 O
4.186 2.093 0.000 O
4.186 0.000 2.093 O
0.000 2.289 0.000 O
0.000 0.000 2.289 O
2.093 4.186 0.000 O
2.093 0.000 4.186 O
0.000 6.083 0.000 O
0.000 0.000 6.083 O
0.000 4.186 2.093 O
0.000 2.093 4.186 O
```

## Properties
The value obtained for the density of states at the Fermi level is 3.896 states/eV per cell.

no.,raw formation energy (eV/atom),uncorrected energy (eV/atom)
1,-1.8807,-7.404
2,-1.8961,-6.605
3,-2.3136,-6.824
4,-1.6910,-6.679
5,-2.1368,-6.434
6,-1.5747,-5.484
7,-2.1349,-6.194
8,-1.5142,-5.419